Entry 1:
ZrSc3Hg2 | GGA-PBE | optimized geometry

Space group: No. 123
Uncorrected energy in eV per atom: -4.983
Density of states at the Fermi level in states/eV/cell: 6.77
Energy of formation from the pure elements in eV/atom: -0.29

```
ZrSc3Hg2
1.0
-1.465 -1.803 -2.374
-1.849 -1.525 2.300
-8.576 8.567 -1.214
Zr Hg Sc
1 2 3
Direct
0.500 0.500 0.500 Zr
0.500 0.500 0.162 Hg
0.500 0.500 0.838 Hg
0.000 0.000 0.676 Sc
0.000 0.000 0.000 Sc
0.000 0.000 0.324 Sc
```



Entry 2:
TiCr | GGA-PBE | optimized geometry

Space group: No. 19
Uncorrected energy in eV per atom: -8.569
Density of states at the Fermi level in states/eV/cell: 21.73
Energy of formation from the pure elements in eV/atom: 0.19

```
TiCr
1.0
5.067 0.000 0.000
0.000 5.114 0.000
0.000 0.000 8.808
Cr Ti
8 8
Direct
0.649 0.013 0.218 Cr
0.578 0.754 0.007 Cr
0.351 0.513 0.282 Cr
0.078 0.746 0.993 Cr
0.922 0.246 0.507 Cr
0.851 0.987 0.718 Cr
0.149 0.487 0.782 Cr
0.422 0.254 0.493 Cr
0.355 0.019 0.762 Ti
0.874 0.209 0.967 Ti
0.374 0.291 0.033 Ti
0.645 0.519 0.738 Ti
0.126 0.709 0.533 Ti
0.626 0.791 0.467 Ti
0.855 0.481 0.238 Ti
0.145 0.981 0.262 Ti
```



Entry 3:
Nd2ZnSb | GGA-PBE | optimized geometry

Raw formation energy in meV/atom: -640
E above lowest polymorph in eV/atom: 0.073
Space group: No. 123
Uncorrected energy in eV per atom: -4.373
Density of states at the Fermi level in states/eV/cell: 3.17

```
Nd2ZnSb
1.0
-3.899 -0.476 -0.659
0.060 -3.387 2.094
-1.399 3.520 5.733
Nd Zn Sb
2 1 1
Direct
0.000 0.000 0.248 Nd
0.000 0.000 0.752 Nd
0.500 0.500 0.000 Zn
0.500 0.500 0.500 Sb
```